Record 1
LaCrIr | PBE | relaxed

The value obtained for the distance to the lowest polymorph of the same formula is 205 meV/atom. For the energy relative to the elements, the calculation gives 57 meV per atom. For the total energy, the calculation gives -7.7471 eV/atom.

Cell lengths 5.901, 5.901, 5.901 Å; angles 150.47, 142.13, 48.74 degrees
Fractional positions:
La  0.000  0.000  0.000
Cr  0.721  0.721  0.000
Ir  0.291  0.291  0.000

---

Record 2
LaCrIr | PBE | relaxed

The value obtained for the distance to the lowest polymorph of the same formula is 0 meV/atom. For the energy relative to the elements, the calculation gives -148 meV per atom. For the total energy, the calculation gives -7.9517 eV/atom.

Cell lengths 4.051, 4.051, 4.687 Å; angles 90.00, 90.00, 120.00 degrees
Fractional positions:
La  0.000  0.000  0.000
Cr  0.333  0.667  0.527
Ir  0.667  0.333  0.470

---

Record 3
LaCrIr | PBE | relaxed

The value obtained for the distance to the lowest polymorph of the same formula is 725 meV/atom. For the energy relative to the elements, the calculation gives 578 meV per atom. For the total energy, the calculation gives -7.2264 eV/atom.

Cell lengths 2.891, 2.891, 7.535 Å; angles 90.00, 90.00, 120.00 degrees
Fractional positions:
La  0.000  0.000  0.000
Cr  0.667  0.333  0.368
Ir  0.333  0.667  0.620

---

Record 4
LaCr2Ir | PBE | relaxed

The value obtained for the distance to the lowest polymorph of the same formula is 82 meV/atom. For the energy relative to the elements, the calculation gives 257 meV per atom. For the total energy, the calculation gives -8.0015 eV/atom.

Cell lengths 4.738, 4.738, 4.738 Å; angles 119.96, 119.96, 90.07 degrees
Fractional positions:
La  0.000  0.000  0.000
Cr  0.500  0.500  0.000
Cr  0.750  0.250  0.500
Ir  0.250  0.750  0.500

---

Record 5
LaCrIr | PBE | relaxed

The value obtained for the distance to the lowest polymorph of the same formula is 265 meV/atom. For the energy relative to the elements, the calculation gives 117 meV per atom. For the total energy, the calculation gives -7.6867 eV/atom.

Cell lengths 4.680, 4.680, 4.680 Å; angles 60.00, 60.00, 60.00 degrees
Fractional positions:
La  0.000  0.000  0.000
Cr  0.500  0.500  0.500
Ir  0.250  0.250  0.250

---

Record 6
LaCr2Ir | PBE | relaxed

The value obtained for the distance to the lowest polymorph of the same formula is 319 meV/atom. For the energy relative to the elements, the calculation gives 494 meV per atom. For the total energy, the calculation gives -7.7646 eV/atom.

Cell lengths 9.516, 9.516, 9.516 Å; angles 153.40, 153.40, 37.97 degrees
Fractional positions:
La  0.375  0.625  0.750
La  0.625  0.375  0.250
Cr  0.000  0.000  0.000
Cr  0.000  0.000  0.500
Cr  0.000  0.500  0.000
Cr  0.500  0.000  0.500
Ir  0.125  0.875  0.250
Ir  0.875  0.125  0.750

---

Record 7
LaCr2Ir | PBE | relaxed

The value obtained for the distance to the lowest polymorph of the same formula is 344 meV/atom. For the energy relative to the elements, the calculation gives 520 meV per atom. For the total energy, the calculation gives -7.7392 eV/atom.

Cell lengths 4.709, 4.709, 3.068 Å; angles 90.00, 90.00, 90.00 degrees
Fractional positions:
La  0.000  0.000  0.000
Cr  0.000  0.500  0.500
Cr  0.500  0.000  0.500
Ir  0.500  0.500  0.000

---

Record 8
LaCr2Ir | PBE | relaxed

The value obtained for the distance to the lowest polymorph of the same formula is 0 meV/atom. For the energy relative to the elements, the calculation gives 176 meV per atom. For the total energy, the calculation gives -8.0832 eV/atom.

Cell lengths 3.041, 3.041, 7.680 Å; angles 90.00, 90.00, 90.00 degrees
Fractional positions:
La  0.000  0.000  0.000
Cr  0.000  0.000  0.494
Cr  0.500  0.500  0.664
Ir  0.500  0.500  0.302

---

Record 9
LaCr2Ir | PBE | relaxed

The value obtained for the distance to the lowest polymorph of the same formula is 188 meV/atom. For the energy relative to the elements, the calculation gives 363 meV per atom. For the total energy, the calculation gives -7.8956 eV/atom.

Cell lengths 4.142, 4.142, 4.487 Å; angles 90.00, 90.00, 90.00 degrees
Fractional positions:
La  0.000  0.000  0.000
Cr  0.000  0.500  0.500
Cr  0.500  0.000  0.500
Ir  0.500  0.500  0.000

---

Record 10
La2CrIr | PBE | relaxed

The value obtained for the distance to the lowest polymorph of the same formula is 0 meV/atom. For the energy relative to the elements, the calculation gives -154 meV per atom. For the total energy, the calculation gives -7.2387 eV/atom.

Cell lengths 4.016, 6.299, 6.299 Å; angles 40.19, 90.00, 90.00 degrees
Fractional positions:
La  0.000  0.000  0.000
La  0.500  0.285  0.285
Cr  0.000  0.698  0.698
Ir  0.500  0.560  0.560

---

Record 11
LaCrIr | PBE | relaxed

The value obtained for the distance to the lowest polymorph of the same formula is 899 meV/atom. For the energy relative to the elements, the calculation gives 752 meV per atom. For the total energy, the calculation gives -7.0524 eV/atom.

Cell lengths 4.689, 4.689, 4.689 Å; angles 60.00, 60.00, 60.00 degrees
Fractional positions:
La  0.000  0.000  0.000
Cr  0.250  0.250  0.250
Ir  0.750  0.750  0.750

---

Record 12
La2CrIr | PBE | relaxed

The value obtained for the distance to the lowest polymorph of the same formula is 407 meV/atom. For the energy relative to the elements, the calculation gives 253 meV per atom. For the total energy, the calculation gives -6.8322 eV/atom.

Cell lengths 5.053, 5.053, 5.053 Å; angles 60.00, 60.00, 60.00 degrees
Fractional positions:
La  0.250  0.250  0.250
La  0.750  0.750  0.750
Cr  0.000  0.000  0.000
Ir  0.500  0.500  0.500

---

Repeat the ninth record exactly.
LaCr2Ir | PBE | relaxed

The value obtained for the distance to the lowest polymorph of the same formula is 188 meV/atom. For the energy relative to the elements, the calculation gives 363 meV per atom. For the total energy, the calculation gives -7.8956 eV/atom.

Cell lengths 4.142, 4.142, 4.487 Å; angles 90.00, 90.00, 90.00 degrees
Fractional positions:
La  0.000  0.000  0.000
Cr  0.000  0.500  0.500
Cr  0.500  0.000  0.500
Ir  0.500  0.500  0.000